Record 1
First-principles (PBE) data for a relaxed structure of SbRh3, as listed in Alexandria.

Calculated values
Energy relative to the elements, uncorrected: -0.9 kcal/mol of atoms
Theoretical density: 11.3 g cm⁻³
Total magnetic moment: 0.000 μB per formula unit
D(E_F): 5.85 states/eV/cell

```
data_SbRh3
_chemical_formula_sum 'Sb1 Rh3'
_cell_length_a 2.9594
_cell_length_b 3.7979
_cell_length_c 5.6429
_cell_angle_alpha 90.00
_cell_angle_beta 90.00
_cell_angle_gamma 90.00
_space_group_name_H-M_alt 'P m m m'
_space_group_IT_number 47
_space_group_name_Hall '-P 2 2'
loop_
_atom_site_label
_atom_site_fract_x
_atom_site_fract_y
_atom_site_fract_z
Sb1 0.0000 0.0000 0.0000
Rh1 0.0000 0.0000 0.5000
Rh2 0.5000 0.5000 0.2619
```



Record 2
First-principles (PBE) data for a relaxed structure of SbRh, as listed in Alexandria.

Calculated values
Energy relative to the elements, uncorrected: 0.0 kcal/mol of atoms
Theoretical density: 8.7 g cm⁻³
Total magnetic moment: 0.000 μB per formula unit
D(E_F): 8.05 states/eV/cell

```
data_SbRh
_chemical_formula_sum 'Sb6 Rh6'
_cell_length_a 3.6203
_cell_length_b 3.6203
_cell_length_c 22.5455
_cell_angle_alpha 90.00
_cell_angle_beta 90.00
_cell_angle_gamma 120.00
_space_group_name_H-M_alt 'R -3 m'
_space_group_IT_number 166
_space_group_name_Hall '-R 3 2"'
loop_
_atom_site_label
_atom_site_fract_x
_atom_site_fract_y
_atom_site_fract_z
Sb1 0.0000 0.0000 0.1078
Rh1 0.0000 0.0000 0.3755
```



Record 3
First-principles (PBE) data for a relaxed structure of SbRh, as listed in Alexandria.

Calculated values
Energy relative to the elements, uncorrected: -7.7 kcal/mol of atoms
Theoretical density: 8.7 g cm⁻³
Total magnetic moment: 0.000 μB per formula unit
D(E_F): 9.69 states/eV/cell

```
data_SbRh
_chemical_formula_sum 'Sb8 Rh8'
_cell_length_a 5.5758
_cell_length_b 7.3862
_cell_length_c 8.2957
_cell_angle_alpha 90.00
_cell_angle_beta 90.00
_cell_angle_gamma 90.00
_space_group_name_H-M_alt 'P 21 21 21'
_space_group_IT_number 19
_space_group_name_Hall 'P 2ac 2ab'
loop_
_atom_site_label
_atom_site_fract_x
_atom_site_fract_y
_atom_site_fract_z
Sb1 0.0016 0.1276 0.3603
Sb2 0.0199 0.1816 0.8878
Rh1 0.0430 0.3365 0.6079
Rh2 0.2372 0.9725 0.6152
```



Record 4
First-principles (PBE) data for a relaxed structure of Sb3Rh2, as listed in Alexandria.

Calculated values
Energy relative to the elements, uncorrected: -4.7 kcal/mol of atoms
Theoretical density: 8.8 g cm⁻³
Total magnetic moment: 0.000 μB per formula unit
D(E_F): 3.48 states/eV/cell

```
data_Sb3Rh2
_chemical_formula_sum 'Sb3 Rh2'
_cell_length_a 4.4046
_cell_length_b 4.4046
_cell_length_c 6.4132
_cell_angle_alpha 90.00
_cell_angle_beta 90.00
_cell_angle_gamma 120.00
_space_group_name_H-M_alt 'P -3 m 1'
_space_group_IT_number 164
_space_group_name_Hall '-P 3 2"'
loop_
_atom_site_label
_atom_site_fract_x
_atom_site_fract_y
_atom_site_fract_z
Sb1 0.0000 0.0000 0.0000
Sb2 0.3333 0.6667 0.3510
Rh1 0.3333 0.6667 0.7859
```



Record 5
First-principles (PBE) data for a relaxed structure of SbRh, as listed in Alexandria.

Calculated values
Energy relative to the elements, uncorrected: -3.8 kcal/mol of atoms
Theoretical density: 10.3 g cm⁻³
Total magnetic moment: 0.000 μB per formula unit
D(E_F): 2.29 states/eV/cell

```
data_SbRh
_chemical_formula_sum 'Sb1 Rh1'
_cell_length_a 3.3087
_cell_length_b 3.3087
_cell_length_c 3.3087
_cell_angle_alpha 90.00
_cell_angle_beta 90.00
_cell_angle_gamma 90.00
_space_group_name_H-M_alt 'P m -3 m'
_space_group_IT_number 221
_space_group_name_Hall '-P 4 2 3'
loop_
_atom_site_label
_atom_site_fract_x
_atom_site_fract_y
_atom_site_fract_z
Sb1 0.0000 0.0000 0.0000
Rh1 0.5000 0.5000 0.5000
```



Record 6
First-principles (PBE) data for a relaxed structure of SbRh, as listed in Alexandria.

Calculated values
Energy relative to the elements, uncorrected: -2.9 kcal/mol of atoms
Theoretical density: 9.4 g cm⁻³
Total magnetic moment: 0.000 μB per formula unit
D(E_F): 10.55 states/eV/cell

```
data_SbRh
_chemical_formula_sum 'Sb4 Rh4'
_cell_length_a 5.4145
_cell_length_b 5.4145
_cell_length_c 5.4145
_cell_angle_alpha 90.00
_cell_angle_beta 90.00
_cell_angle_gamma 90.00
_space_group_name_H-M_alt 'F m -3 m'
_space_group_IT_number 225
_space_group_name_Hall '-F 4 2 3'
loop_
_atom_site_label
_atom_site_fract_x
_atom_site_fract_y
_atom_site_fract_z
Sb1 0.0000 0.0000 0.0000
Rh1 0.0000 0.0000 0.5000
```



Record 7
First-principles (PBE) data for a relaxed structure of SbRh2, as listed in Alexandria.

Calculated values
Energy relative to the elements, uncorrected: -8.5 kcal/mol of atoms
Theoretical density: 11.0 g cm⁻³
Total magnetic moment: 0.000 μB per formula unit
D(E_F): 6.34 states/eV/cell

```
data_SbRh2
_chemical_formula_sum 'Sb4 Rh8'
_cell_length_a 5.8200
_cell_length_b 4.2153
_cell_length_c 8.0368
_cell_angle_alpha 90.00
_cell_angle_beta 90.00
_cell_angle_gamma 90.00
_space_group_name_H-M_alt 'P n m a'
_space_group_IT_number 62
_space_group_name_Hall '-P 2ac 2n'
loop_
_atom_site_label
_atom_site_fract_x
_atom_site_fract_y
_atom_site_fract_z
Sb1 0.2146 0.2500 0.1076
Rh1 0.0403 0.2500 0.7994
Rh2 0.1588 0.2500 0.4307
```



Record 8
First-principles (PBE) data for a relaxed structure of SbRh3, as listed in Alexandria.

Calculated values
Energy relative to the elements, uncorrected: -2.1 kcal/mol of atoms
Theoretical density: 11.4 g cm⁻³
Total magnetic moment: 0.000 μB per formula unit
D(E_F): 5.05 states/eV/cell

```
data_SbRh3
_chemical_formula_sum 'Sb1 Rh3'
_cell_length_a 2.9471
_cell_length_b 4.5042
_cell_length_c 4.7426
_cell_angle_alpha 90.00
_cell_angle_beta 90.00
_cell_angle_gamma 90.00
_space_group_name_H-M_alt 'P m m 2'
_space_group_IT_number 25
_space_group_name_Hall 'P 2 -2'
loop_
_atom_site_label
_atom_site_fract_x
_atom_site_fract_y
_atom_site_fract_z
Sb1 0.0000 0.0000 0.0000
Rh1 0.0000 0.5000 0.6347
Rh2 0.5000 0.0000 0.5090
Rh3 0.5000 0.5000 0.1524
```



Record 9
First-principles (PBE) data for a relaxed structure of SbRh3, as listed in Alexandria.

Calculated values
Energy relative to the elements, uncorrected: -6.2 kcal/mol of atoms
Theoretical density: 11.5 g cm⁻³
Total magnetic moment: 0.000 μB per formula unit
D(E_F): 2.27 states/eV/cell

```
data_SbRh3
_chemical_formula_sum 'Sb1 Rh3'
_cell_length_a 3.9625
_cell_length_b 3.9625
_cell_length_c 3.9625
_cell_angle_alpha 90.00
_cell_angle_beta 90.00
_cell_angle_gamma 90.00
_space_group_name_H-M_alt 'P m -3 m'
_space_group_IT_number 221
_space_group_name_Hall '-P 4 2 3'
loop_
_atom_site_label
_atom_site_fract_x
_atom_site_fract_y
_atom_site_fract_z
Sb1 0.0000 0.0000 0.0000
Rh1 0.0000 0.5000 0.5000
```



Record 10
First-principles (PBE) data for a relaxed structure of SbRh, as listed in Alexandria.

Calculated values
Energy relative to the elements, uncorrected: -1.1 kcal/mol of atoms
Theoretical density: 8.4 g cm⁻³
Total magnetic moment: 0.000 μB per formula unit
D(E_F): 9.82 states/eV/cell

```
data_SbRh
_chemical_formula_sum 'Sb6 Rh6'
_cell_length_a 4.2012
_cell_length_b 4.2012
_cell_length_c 17.5309
_cell_angle_alpha 90.00
_cell_angle_beta 90.00
_cell_angle_gamma 120.00
_space_group_name_H-M_alt 'R -3 m'
_space_group_IT_number 166
_space_group_name_Hall '-R 3 2"'
loop_
_atom_site_label
_atom_site_fract_x
_atom_site_fract_y
_atom_site_fract_z
Sb1 0.0000 0.0000 0.0920
Rh1 0.0000 0.0000 0.3527
```



Record 11
First-principles (PBE) data for a relaxed structure of SbRh, as listed in Alexandria.

Calculated values
Energy relative to the elements, uncorrected: -7.7 kcal/mol of atoms
Theoretical density: 10.0 g cm⁻³
Total magnetic moment: 0.000 μB per formula unit
D(E_F): 1.28 states/eV/cell

```
data_SbRh
_chemical_formula_sum 'Sb2 Rh2'
_cell_length_a 3.4801
_cell_length_b 4.0476
_cell_length_c 5.4714
_cell_angle_alpha 90.00
_cell_angle_beta 104.58
_cell_angle_gamma 90.00
_space_group_name_H-M_alt 'P 1 21/m 1'
_space_group_IT_number 11
_space_group_name_Hall '-P 2yb'
loop_
_atom_site_label
_atom_site_fract_x
_atom_site_fract_y
_atom_site_fract_z
Sb1 0.1609 0.2500 0.2946
Rh1 0.3820 0.2500 0.8139
```



Record 12
First-principles (PBE) data for a relaxed structure of SbRh2, as listed in Alexandria.

Calculated values
Energy relative to the elements, uncorrected: -4.0 kcal/mol of atoms
Theoretical density: 10.8 g cm⁻³
Total magnetic moment: 0.000 μB per formula unit
D(E_F): 2.90 states/eV/cell

```
data_SbRh2
_chemical_formula_sum 'Sb1 Rh2'
_cell_length_a 4.3227
_cell_length_b 4.3227
_cell_length_c 3.1141
_cell_angle_alpha 90.00
_cell_angle_beta 90.00
_cell_angle_gamma 120.00
_space_group_name_H-M_alt 'P -3 m 1'
_space_group_IT_number 164
_space_group_name_Hall '-P 3 2"'
loop_
_atom_site_label
_atom_site_fract_x
_atom_site_fract_y
_atom_site_fract_z
Sb1 0.0000 0.0000 0.0000
Rh1 0.3333 0.6667 0.7296
```